[1]
Here is a relaxed LiMg6Sc crystal from the Alexandria database. Energies are from GGA-PBE.

Summary:
- energy relative to the elements (eV per atom) = -0.02
- crystal system = tetragonal
- space-group type = P4/mmm
- total magnetic moment (μB/f.u.) = 0.00

a b c (Å): 4.4755 4.4755 9.0350
angles (deg): 90.00 90.00 90.00
Positions (direct):
Li 0.0000 0.0000 0.0000
Mg 0.0000 0.5000 0.2455
Mg 0.0000 0.5000 0.7545
Mg 0.5000 0.0000 0.2455
Mg 0.5000 0.0000 0.7545
Mg 0.5000 0.5000 0.0000
Mg 0.5000 0.5000 0.5000
Sc 0.0000 0.0000 0.5000

---

[2]
Here is a relaxed LiMg2Sc crystal from the Alexandria database. Energies are from GGA-PBE.

Summary:
- ΔE to the lowest computed polymorph (eV/atom) = 0.085
- energy relative to the elements (eV per atom) = 0.05
- crystal system = orthorhombic
- space-group type = Cmm2
- total magnetic moment (μB/f.u.) = 0.00

a b c (Å): 3.0536 3.0536 10.1051
angles (deg): 90.00 90.00 107.66
Positions (direct):
Li 0.0000 0.0000 0.0000
Mg 0.0000 0.0000 0.5086
Mg 0.5000 0.5000 0.7626
Sc 0.5000 0.5000 0.2550

---

[3]
Here is a relaxed Li2Mg3Sc crystal from the Alexandria database. Energies are from GGA-PBE.

Summary:
- energy relative to the elements (eV per atom) = -0.05
- crystal system = tetragonal
- space-group type = P4/mmm
- total magnetic moment (μB/f.u.) = 0.24

a b c (Å): 3.3688 3.3688 11.2197
angles (deg): 90.00 90.00 90.00
Positions (direct):
Li 0.0000 0.0000 0.1588
Li 0.0000 0.0000 0.8412
Mg 0.5000 0.5000 0.0000
Mg 0.5000 0.5000 0.3116
Mg 0.5000 0.5000 0.6884
Sc 0.0000 0.0000 0.5000

---

[4]
Here is a relaxed LiMg2Sc crystal from the Alexandria database. Energies are from GGA-PBE.

Summary:
- ΔE to the lowest computed polymorph (eV/atom) = 0.069
- energy relative to the elements (eV per atom) = 0.03
- crystal system = orthorhombic
- space-group type = Imm2
- total magnetic moment (μB/f.u.) = 0.00

a b c (Å): 5.9246 5.9246 5.9246
angles (deg): 146.55 128.29 63.00
Positions (direct):
Li 0.0000 0.0000 0.0000
Mg 0.2263 0.7263 0.5000
Mg 0.4762 0.4762 0.0000
Sc 0.7422 0.2422 0.5000

---

[5]
Here is a relaxed Li2Mg9Sc crystal from the Alexandria database. Energies are from GGA-PBE.

Summary:
- energy relative to the elements (eV per atom) = -0.03
- crystal system = tetragonal
- space-group type = P4/mmm
- total magnetic moment (μB/f.u.) = 0.00

a b c (Å): 4.4542 4.4542 13.4741
angles (deg): 90.00 90.00 90.00
Positions (direct):
Li 0.0000 0.0000 0.1687
Li 0.0000 0.0000 0.8313
Mg 0.0000 0.5000 0.0000
Mg 0.0000 0.5000 0.3294
Mg 0.0000 0.5000 0.6706
Mg 0.5000 0.0000 0.0000
Mg 0.5000 0.0000 0.3294
Mg 0.5000 0.0000 0.6706
Mg 0.5000 0.5000 0.1612
Mg 0.5000 0.5000 0.5000
Mg 0.5000 0.5000 0.8388
Sc 0.0000 0.0000 0.5000

---

[6]
Here is a relaxed LiMg6Sc5 crystal from the Alexandria database. Energies are from GGA-PBE.

Summary:
- energy relative to the elements (eV per atom) = -0.02
- crystal system = orthorhombic
- space-group type = Cmmm
- total magnetic moment (μB/f.u.) = 0.20

a b c (Å): 7.9941 7.9941 7.1710
angles (deg): 90.00 90.00 143.16
Positions (direct):
Li 0.0000 0.0000 0.0000
Mg 0.1601 0.8399 0.2432
Mg 0.1601 0.8399 0.7568
Mg 0.5000 0.5000 0.2408
Mg 0.5000 0.5000 0.7592
Mg 0.8399 0.1601 0.2432
Mg 0.8399 0.1601 0.7568
Sc 0.0000 0.0000 0.5000
Sc 0.3262 0.6738 0.0000
Sc 0.3294 0.6706 0.5000
Sc 0.6706 0.3294 0.5000
Sc 0.6738 0.3262 0.0000

---

[7]
Here is a relaxed Li2MgSc crystal from the Alexandria database. Energies are from GGA-PBE.

Summary:
- energy relative to the elements (eV per atom) = 0.06
- crystal system = orthorhombic
- space-group type = Cmm2
- total magnetic moment (μB/f.u.) = 0.00

a b c (Å): 3.0587 3.0587 9.7300
angles (deg): 90.00 90.00 106.27
Positions (direct):
Li 0.0000 0.0000 0.0000
Li 0.5000 0.5000 0.2377
Mg 0.0000 0.0000 0.4809
Sc 0.5000 0.5000 0.7434

---

[8]
Here is a relaxed LiMg3Sc crystal from the Alexandria database. Energies are from GGA-PBE.

Summary:
- ΔE to the lowest computed polymorph (eV/atom) = 0.000
- energy relative to the elements (eV per atom) = -0.02
- crystal system = monoclinic
- space-group type = C2/m
- total magnetic moment (μB/f.u.) = 0.51

a b c (Å): 6.1100 6.1100 11.9056
angles (deg): 92.89 92.89 30.64
Positions (direct):
Li 0.1652 0.1652 0.4256
Li 0.8348 0.8348 0.5744
Mg 0.0355 0.0355 0.1864
Mg 0.2363 0.2363 0.7748
Mg 0.4344 0.4344 0.3848
Mg 0.5656 0.5656 0.6152
Mg 0.7637 0.7637 0.2252
Mg 0.9645 0.9645 0.8136
Sc 0.3658 0.3658 0.0199
Sc 0.6342 0.6342 0.9801

---

[9]
Here is a relaxed LiMg5Sc2 crystal from the Alexandria database. Energies are from GGA-PBE.

Summary:
- energy relative to the elements (eV per atom) = -0.03
- crystal system = tetragonal
- space-group type = I4/mmm
- total magnetic moment (μB/f.u.) = 0.44

a b c (Å): 9.0857 9.0857 9.0857
angles (deg): 150.55 150.55 42.13
Positions (direct):
Li 0.0000 0.0000 0.0000
Mg 0.1201 0.6201 0.5000
Mg 0.3799 0.8799 0.5000
Mg 0.5000 0.5000 0.0000
Mg 0.6201 0.1201 0.5000
Mg 0.8799 0.3799 0.5000
Sc 0.2518 0.2518 0.0000
Sc 0.7482 0.7482 0.0000

---

[10]
Here is a relaxed LiMg2Sc crystal from the Alexandria database. Energies are from GGA-PBE.

Summary:
- ΔE to the lowest computed polymorph (eV/atom) = 0.050
- energy relative to the elements (eV per atom) = 0.02
- crystal system = trigonal
- space-group type = R3m
- total magnetic moment (μB/f.u.) = 0.00

a b c (Å): 10.4846 10.4846 10.4846
angles (deg): 17.52 17.52 17.52
Positions (direct):
Li 0.0000 0.0000 0.0000
Mg 0.4130 0.4130 0.4130
Mg 0.5851 0.5851 0.5851
Sc 0.8322 0.8322 0.8322

---

[11]
Here is a relaxed Li2Mg2Sc crystal from the Alexandria database. Energies are from GGA-PBE.

Summary:
- ΔE to the lowest computed polymorph (eV/atom) = 0.021
- energy relative to the elements (eV per atom) = 0.03
- crystal system = tetragonal
- space-group type = P4/mbm
- total magnetic moment (μB/f.u.) = 0.00

a b c (Å): 8.0987 8.0987 3.1890
angles (deg): 90.00 90.00 90.00
Positions (direct):
Li 0.1224 0.3776 0.0000
Li 0.3776 0.8776 0.0000
Li 0.6224 0.1224 0.0000
Li 0.8776 0.6224 0.0000
Mg 0.1769 0.6769 0.5000
Mg 0.3231 0.1769 0.5000
Mg 0.6769 0.8231 0.5000
Mg 0.8231 0.3231 0.5000
Sc 0.0000 0.0000 0.0000
Sc 0.5000 0.5000 0.0000

---

[12]
Here is a relaxed Li3MgSc crystal from the Alexandria database. Energies are from GGA-PBE.

Summary:
- ΔE to the lowest computed polymorph (eV/atom) = 0.000
- energy relative to the elements (eV per atom) = 0.52
- crystal system = cubic
- space-group type = Pm-3m
- total magnetic moment (μB/f.u.) = 0.01

a b c (Å): 4.8776 4.8776 4.8776
angles (deg): 90.00 90.00 90.00
Positions (direct):
Li 0.0000 0.0000 0.5000
Li 0.0000 0.5000 0.0000
Li 0.5000 0.0000 0.0000
Mg 0.0000 0.0000 0.0000
Sc 0.5000 0.5000 0.5000